This record from Alexandria via LeMat-Bulk describes a relaxed RbHf3Pb crystal. The functional is PBEsol.

```
RbHf3Pb
1.0
-3.6409 -2.3469 -3.3619
1.8067 -4.9545 1.5020
-3.6805 -0.1104 4.0630
Pb Hf Rb
1 3 1
direct
0.0000 0.0000 0.0000
0.0000 0.5000 0.0000
0.0000 0.0000 0.5000
0.5000 0.0000 0.0000
0.5000 0.5000 0.5000
```

* space group: No. 221
* density: 8.34 Mg/m³
* E: -5.745 eV per atom
* N(E_F): 10.98 states/eV/cell